Density functional theory data (PBE) for an optimized crystal structure of TbTmBr.

abc: 3.6968 3.6968 7.2464
angles: 90.00 90.00 120.00
Sites, in units of the cell vectors:
Tb  0.0000  0.0000  0.0000
Tm  0.3333  0.6667  0.6382
Br  0.6667  0.3333  0.3229

## Properties
Size of the total moment in μB per formula unit: 0.24
SG: No. 156
Formation energy without anion corrections in kJ/mol of atoms: -69.98
E_tot in eV/atom: -4.317